A plane-wave DFT calculation with PBE-GGA was carried out for Tm3Si6Ni2Ir after structural relaxation.

Calculated values
- spin magnetization (μB per cell) = 0.00
- DOS(E_F) (states/eV/cell) = 7.6
- crystal system = trigonal
- formation energy (no corrections) (eV per atom) = -0.398
- space-group type = P-3m1

Unit cell a=5.2022 b=5.2022 c=9.0477 alpha=90.00 beta=90.00 gamma=120.00
Positions (direct):
Tm 0.0000 0.0000 0.0000
Tm 0.3333 0.6667 0.5753
Tm 0.6667 0.3333 0.4247
Si 0.1685 0.3371 0.2760
Si 0.1685 0.8315 0.2760
Si 0.3371 0.1685 0.7240
Si 0.6629 0.8315 0.2760
Si 0.8315 0.1685 0.7240
Si 0.8315 0.6629 0.7240
Ni 0.3333 0.6667 0.0792
Ni 0.6667 0.3333 0.9208
Ir 0.0000 0.0000 0.5000